Record 1
Crystalline CaB3H3O7 at its relaxed geometry. Source: Alexandria via LeMat-Bulk, functional PBE.

Cell: 7.3185 8.1773 8.4689 Å, 90.00 97.67 90.00°
Closest atoms and distances in Å follow each position.
Element x y z (fractional)
Ca 0.9261 0.2917 0.6138  7 O 2.40-2.57
Ca 0.0739 0.7917 0.8862  7 O 2.40-2.57
Ca 0.0739 0.7083 0.3862  7 O 2.40-2.57
Ca 0.9261 0.2083 0.1138  7 O 2.40-2.57
B 0.6883 0.4614 0.8328  4 O 1.47-1.51
B 0.3117 0.9614 0.6672  4 O 1.47-1.51
B 0.3117 0.5386 0.1672  4 O 1.47-1.51
B 0.6883 0.0386 0.3328  4 O 1.47-1.51
B 0.2205 0.3532 0.3864  4 O 1.45-1.53
B 0.7795 0.8532 0.1136  4 O 1.45-1.53
B 0.7795 0.6468 0.6136  4 O 1.45-1.53
B 0.2205 0.1468 0.8864  4 O 1.45-1.53
B 0.5147 0.3090 0.2834  3 O 1.36-1.38
B 0.4853 0.8090 0.2166  3 O 1.36-1.38
B 0.4853 0.6910 0.7166  3 O 1.36-1.38
B 0.5147 0.1910 0.7834  3 O 1.36-1.38
H 0.6455 0.4527 0.0672  1 O 1.01
H 0.3545 0.9527 0.4328  1 O 1.01
H 0.3545 0.5473 0.9328  1 O 1.01
H 0.6455 0.0473 0.5672  1 O 1.01
H 0.3114 0.4540 0.6119  1 O 0.98
H 0.6886 0.9540 0.8881  1 O 0.98
H 0.6886 0.5460 0.3881  1 O 0.98
H 0.3114 0.0460 0.1119  1 O 0.98
H 0.1370 0.3841 0.9212  1 O 1.01
H 0.8630 0.8841 0.5788  1 O 1.01
H 0.8630 0.6159 0.0788  1 O 1.01
H 0.1370 0.1159 0.4212  1 O 1.01
O 0.0777 0.2777 0.8822  1 H 1.01
O 0.9223 0.7777 0.6178  1 H 1.01
O 0.9223 0.7223 0.1178  1 H 1.01
O 0.0777 0.2223 0.3822  1 H 1.01
O 0.1697 0.4559 0.2452  2 B 1.47
O 0.8303 0.9559 0.2548  2 B 1.47
O 0.8303 0.5441 0.7548  2 B 1.47
O 0.1697 0.0441 0.7452  2 B 1.47
O 0.6599 0.2928 0.7611  2 B 1.38-1.51
O 0.3401 0.7928 0.7389  2 B 1.38-1.51
O 0.3401 0.7072 0.2389  2 B 1.38-1.51
O 0.6599 0.2072 0.2611  2 B 1.38-1.51
O 0.7538 0.4462 0.0057  1 H 1.01
O 0.2462 0.9462 0.4943  1 H 1.01
O 0.2462 0.5538 0.9943  1 H 1.01
O 0.7538 0.0538 0.5057  1 H 1.01
O 0.2000 0.4556 0.5342  1 H 0.98
O 0.8000 0.9556 0.9658  1 H 0.98
O 0.8000 0.5444 0.4658  1 H 0.98
O 0.2000 0.0444 0.0342  1 H 0.98
O 0.4017 0.2787 0.3957  2 B 1.36-1.45
O 0.5983 0.7787 0.1043  2 B 1.36-1.45
O 0.5983 0.7213 0.6043  2 B 1.36-1.45
O 0.4017 0.2213 0.8957  2 B 1.36-1.45
O 0.4909 0.4489 0.1909  2 B 1.38-1.49
O 0.5091 0.9489 0.3091  2 B 1.38-1.49
O 0.5091 0.5511 0.8091  2 B 1.38-1.49
O 0.4909 0.0511 0.6909  2 B 1.38-1.49

## Properties
Crystal system = monoclinic
Total DFT energy (no corrections) = -387.842 eV per cell

=====

Record 2
Crystalline Sr6CdSi2 at its relaxed geometry. Source: Alexandria via LeMat-Bulk, functional PBE.

Cell: 9.5341 9.5341 9.5341 Å, 106.01 111.87 110.59°
Closest atoms and distances in Å follow each position.
Element x y z (fractional)
Sr 0.4658 0.2836 0.1822  2 Si 3.29, 1 Cd 3.64
Sr 0.5342 0.7164 0.8178  2 Si 3.29, 1 Cd 3.64
Sr 0.8986 0.7164 0.1822  2 Si 3.29, 1 Cd 3.64
Sr 0.1014 0.2836 0.8178  2 Si 3.29, 1 Cd 3.64
Sr 0.2040 0.7635 0.9675  2 Si 3.26-3.64, 1 Cd 3.48
Sr 0.7960 0.2365 0.0325  2 Si 3.26-3.64, 1 Cd 3.48
Sr 0.7960 0.7635 0.5596  2 Si 3.26-3.64, 1 Cd 3.48
Sr 0.2040 0.2365 0.4404  2 Si 3.26-3.64, 1 Cd 3.48
Sr 0.3112 0.9893 0.6781  3 Si 3.19-3.21
Sr 0.6888 0.0107 0.3219  3 Si 3.19-3.21
Sr 0.6888 0.3669 0.6781  3 Si 3.19-3.21
Sr 0.3112 0.6331 0.3219  3 Si 3.19-3.21
Cd 0.0000 0.5000 0.5000  12 Sr 3.73-4.13
Cd 0.0000 0.0000 0.0000  8 Sr 3.48-3.64
Si 0.5000 0.3935 0.8935  1 Si 2.44
Si 0.5000 0.6065 0.1065  1 Si 2.44
Si 0.3735 0.0000 0.3735  1 Si 2.70
Si 0.6265 0.0000 0.6265  1 Si 2.70

## Properties
Uncorrected formation energy = -0.27 eV per atom
Crystal system = orthorhombic

=====

Record 3
Crystalline HoSi2Tc2C at its relaxed geometry. Source: Alexandria via LeMat-Bulk, functional PBE.

Cell: 4.1419 4.1419 5.2164 Å, 90.00 90.00 90.00°
Closest atoms and distances in Å follow each position.
Element x y z (fractional)
Ho 0.0000 0.0000 0.5000  2 C 2.61
Si 0.5000 0.5000 0.7221  1 Si 2.32, 4 Tc 2.53
Si 0.5000 0.5000 0.2779  1 Si 2.32, 4 Tc 2.53
Tc 0.5000 0.0000 0.0000  2 C 2.07
Tc 0.0000 0.5000 0.0000  2 C 2.07
C 0.0000 0.0000 0.0000  4 Tc 2.07

## Properties
Uncorrected formation energy = -0.49 eV per atom
Crystal system = tetragonal